Entry 1:
Density functional theory data (PBE) for a relaxed structure of FeNiRh.

Unit cell a=3.948 b=3.948 c=3.948 alpha=60.00 beta=60.00 gamma=60.00
Site moments in Bohr magnetons follow the coordinates.
Sites, in units of the cell vectors:
Fe 0.750 0.750 0.750  2.71
Rh 0.500 0.500 0.500  0.56
Ni 0.000 0.000 0.000  0.77

Output
The value obtained for the density of states at the Fermi level is 2.110 states/eV per atom. The calculation puts the relative energy among the computed polymorphs at 366.7 meV/atom. As for the total DFT energy (no corrections): -6.835 eV/atom. The calculation puts the formation energy at 0.36 eV/atom.

Entry 2:
Density functional theory data (PBE) for a relaxed structure of Sm3Ga4Cu.

Unit cell a=4.503 b=5.324 c=8.913 alpha=107.38 beta=104.63 gamma=90.00
Sites, in units of the cell vectors:
Ga 0.619 0.855 0.237
Ga 0.381 0.145 0.763
Ga 0.381 0.618 0.763
Ga 0.619 0.382 0.237
Sm 0.208 0.208 0.417
Sm 0.792 0.792 0.583
Sm 0.000 0.500 0.000
Cu 0.500 0.000 0.000

Output
The value obtained for the density of states at the Fermi level is 0.641 states/eV per atom. As for the total DFT energy (no corrections): -4.115 eV/atom. The calculation puts the formation energy at -0.32 eV/atom.

Entry 3:
Density functional theory data (PBE) for a relaxed structure of Cd2FePt.

Unit cell a=4.115 b=4.070 c=4.070 alpha=90.00 beta=90.00 gamma=90.00
Site moments in Bohr magnetons follow the coordinates.
Sites, in units of the cell vectors:
Cd 0.000 0.000 0.000  -0.04
Cd 0.000 0.500 0.500  -0.04
Pt 0.500 0.000 0.500  0.01
Fe 0.500 0.500 0.000  2.76

Output
The value obtained for the density of states at the Fermi level is 0.954 states/eV per atom. As for the total DFT energy (no corrections): -4.033 eV/atom. The calculation puts the formation energy at 0.05 eV/atom.

Entry 4:
Density functional theory data (PBE) for a relaxed structure of Ca2Al4GePd3.

Unit cell a=4.263 b=4.263 c=10.681 alpha=90.00 beta=90.00 gamma=90.00
Sites, in units of the cell vectors:
Pd 0.500 0.000 0.870
Pd 0.000 0.000 0.500
Pd 0.000 0.500 0.130
Ge 0.500 0.500 0.500
Al 0.000 0.500 0.362
Al 0.500 0.500 0.000
Al 0.000 0.000 0.000
Al 0.500 0.000 0.638
Ca 0.500 0.000 0.250
Ca 0.000 0.500 0.750

Output
The value obtained for the density of states at the Fermi level is 0.341 states/eV per atom. As for the total DFT energy (no corrections): -4.595 eV/atom. The calculation puts the formation energy at -0.68 eV/atom.

Entry 5:
Density functional theory data (PBE) for a relaxed structure of NiOsRh2.

Unit cell a=4.646 b=4.646 c=4.646 alpha=132.34 beta=132.34 gamma=69.70
Sites, in units of the cell vectors:
Os 0.750 0.250 0.500
Rh 0.500 0.500 0.000
Rh 0.000 0.000 0.000
Ni 0.250 0.750 0.500

Output
The value obtained for the density of states at the Fermi level is 1.263 states/eV per atom. The calculation puts the relative energy among the computed polymorphs at 23.8 meV/atom. As for the total DFT energy (no corrections): -7.867 eV/atom. The calculation puts the formation energy at 0.06 eV/atom.

Entry 6:
Density functional theory data (PBE) for a relaxed structure of DyPbI2.

Unit cell a=3.954 b=3.954 c=11.522 alpha=80.12 beta=80.12 gamma=60.00
Sites, in units of the cell vectors:
Pb 0.500 0.500 0.500
I 0.087 0.087 0.740
I 0.913 0.913 0.260
Dy 0.000 0.000 0.000

Output
The value obtained for the formation energy (no corrections) is -289 meV per atom. The value obtained for the density of states at the Fermi level is 0.448 states/eV per atom. As for the total DFT energy (no corrections): -3.141 eV/atom.

Entry 7:
Density functional theory data (PBE) for a relaxed structure of MnNb2Cu2.

Unit cell a=6.561 b=6.561 c=3.414 alpha=90.00 beta=90.00 gamma=90.00
Sites, in units of the cell vectors:
Nb 0.321 0.179 0.500
Nb 0.179 0.679 0.500
Nb 0.679 0.821 0.500
Nb 0.821 0.321 0.500
Cu 0.874 0.626 0.000
Cu 0.126 0.374 0.000
Cu 0.374 0.874 0.000
Cu 0.626 0.126 0.000
Mn 0.500 0.500 0.000
Mn 0.000 0.000 0.000

Output
The value obtained for the density of states at the Fermi level is 1.089 states/eV per atom. As for the total DFT energy (no corrections): -7.179 eV/atom. The calculation puts the formation energy at 0.32 eV/atom.

Entry 8:
Density functional theory data (PBE) for a relaxed structure of Dy8Pd2Pt.

Unit cell a=5.944 b=7.762 c=7.762 alpha=115.22 beta=100.80 gamma=100.80
Sites, in units of the cell vectors:
Dy 0.373 0.661 0.913
Dy 0.987 0.210 0.794
Dy 0.808 0.640 0.640
Dy 0.168 0.366 0.366
Dy 0.987 0.794 0.210
Dy 0.582 0.091 0.344
Dy 0.373 0.913 0.661
Dy 0.582 0.344 0.091
Pt 0.156 0.005 0.005
Pd 0.492 0.702 0.310
Pd 0.492 0.310 0.702

Output
The value obtained for the density of states at the Fermi level is 1.287 states/eV per atom. The calculation puts the relative energy among the computed polymorphs at 99.9 meV/atom. As for the total DFT energy (no corrections): -5.295 eV/atom. The calculation puts the formation energy at -0.45 eV/atom.

Entry 9:
Density functional theory data (PBE) for a relaxed structure of Sc2AgSb2.

Unit cell a=7.760 b=7.760 c=3.897 alpha=90.00 beta=90.00 gamma=90.00
Sites, in units of the cell vectors:
Sb 0.345 0.845 0.000
Sb 0.655 0.155 0.000
Sb 0.155 0.345 0.000
Sb 0.845 0.655 0.000
Ag 0.000 0.000 0.000
Ag 0.500 0.500 0.000
Sc 0.849 0.349 0.500
Sc 0.349 0.151 0.500
Sc 0.151 0.651 0.500
Sc 0.651 0.849 0.500

Output
The value obtained for the formation energy (no corrections) is -537 meV per atom. The value obtained for the density of states at the Fermi level is 0.804 states/eV per atom. The calculation puts the relative energy among the computed polymorphs at 0.0 meV/atom. As for the total DFT energy (no corrections): -5.289 eV/atom.

Entry 10:
Density functional theory data (PBE) for a relaxed structure of Pr4DyEr15.

Unit cell a=5.032 b=5.032 c=25.029 alpha=90.00 beta=90.00 gamma=90.00
Sites, in units of the cell vectors:
Pr 0.000 0.000 0.400
Pr 0.000 0.000 0.199
Pr 0.000 0.000 0.801
Pr 0.000 0.000 0.600
Er 0.000 0.500 0.299
Er 0.500 0.500 0.600
Er 0.000 0.500 0.701
Er 0.500 0.500 0.801
Er 0.500 0.000 0.701
Er 0.500 0.000 0.500
Er 0.500 0.500 0.000
Er 0.500 0.000 0.902
Er 0.000 0.500 0.098
Er 0.500 0.000 0.098
Er 0.000 0.500 0.500
Er 0.000 0.500 0.902
Er 0.500 0.000 0.299
Er 0.500 0.500 0.400
Er 0.500 0.500 0.199
Dy 0.000 0.000 0.000

Output
The value obtained for the density of states at the Fermi level is 1.371 states/eV per atom. As for the total DFT energy (no corrections): -4.583 eV/atom. The calculation puts the formation energy at 0.03 eV/atom.

Entry 11:
Density functional theory data (PBE) for a relaxed structure of HoTmMg5.

Unit cell a=5.805 b=5.805 c=6.504 alpha=100.87 beta=100.88 gamma=113.93
Sites, in units of the cell vectors:
Mg 0.919 0.492 0.227
Mg 0.000 0.000 0.500
Mg 0.081 0.508 0.773
Mg 0.508 0.081 0.773
Mg 0.492 0.919 0.227
Tm 0.500 0.500 0.500
Ho 0.000 0.000 0.000

Output
The value obtained for the density of states at the Fermi level is 0.631 states/eV per atom. As for the total DFT energy (no corrections): -2.318 eV/atom. The calculation puts the formation energy at 0.11 eV/atom.

Entry 12:
Density functional theory data (PBE) for a relaxed structure of Tl2AuO.

Unit cell a=3.666 b=3.666 c=7.552 alpha=75.95 beta=75.95 gamma=60.00
Sites, in units of the cell vectors:
O 0.668 0.668 0.995
Au 0.498 0.498 0.505
Tl 0.069 0.069 0.793
Tl 0.264 0.264 0.207

Output
The value obtained for the formation energy (no corrections) is -223 meV per atom. The value obtained for the density of states at the Fermi level is 0.466 states/eV per atom. The calculation puts the relative energy among the computed polymorphs at 14.7 meV/atom. As for the total DFT energy (no corrections): -3.465 eV/atom.

Entry 13:
Density functional theory data (PBE) for a relaxed structure of YTlOsAu2.

Unit cell a=5.313 b=5.895 c=5.313 alpha=90.00 beta=90.00 gamma=90.00
Site moments in Bohr magnetons follow the coordinates.
Sites, in units of the cell vectors:
Tl 0.000 0.500 0.000  -0.07
Au 0.500 0.000 0.000  0.03
Au 0.000 0.000 0.500  0.01
Y 0.000 0.000 0.000  -0.11
Os 0.500 0.500 0.500  2.98

Output
The value obtained for the density of states at the Fermi level is 1.183 states/eV per atom. As for the total DFT energy (no corrections): -3.689 eV/atom. The calculation puts the formation energy at 1.63 eV/atom.

Entry 14:
Density functional theory data (PBE) for a relaxed structure of LaHo2Co.

Unit cell a=3.821 b=3.821 c=9.325 alpha=78.18 beta=78.18 gamma=60.00
Sites, in units of the cell vectors:
Ho 0.053 0.053 0.841
Ho 0.279 0.279 0.162
Co 0.666 0.666 0.001
La 0.501 0.501 0.496

Output
The value obtained for the density of states at the Fermi level is 1.072 states/eV per atom. The calculation puts the relative energy among the computed polymorphs at 118.6 meV/atom. As for the total DFT energy (no corrections): -5.334 eV/atom. The calculation puts the formation energy at -0.04 eV/atom.

Entry 15:
Density functional theory data (PBE) for a relaxed structure of Li2Sm3Sn4.

Unit cell a=4.630 b=6.222 c=8.938 alpha=107.22 beta=90.00 gamma=111.84
Sites, in units of the cell vectors:
Sn 0.295 0.590 0.929
Sn 0.705 0.410 0.071
Sn 0.924 0.848 0.609
Sn 0.076 0.152 0.391
Sm 0.635 0.270 0.686
Sm 0.365 0.730 0.314
Sm 0.000 0.000 0.000
Li 0.682 0.364 0.359
Li 0.318 0.636 0.641

Output
The value obtained for the density of states at the Fermi level is 0.291 states/eV per atom. As for the total DFT energy (no corrections): -4.429 eV/atom. The calculation puts the formation energy at -0.65 eV/atom.

Entry 16:
Density functional theory data (PBE) for a relaxed structure of La2PmSi.

Unit cell a=4.185 b=6.678 c=9.422 alpha=90.00 beta=90.00 gamma=108.29
Sites, in units of the cell vectors:
La 0.645 0.292 0.442
La 0.355 0.708 0.558
La 0.355 0.708 0.942
La 0.645 0.292 0.058
Si 0.740 0.480 0.750
Si 0.260 0.520 0.250
Pm 0.071 0.142 0.750
Pm 0.929 0.858 0.250

Output
The value obtained for the formation energy (no corrections) is -383 meV per atom. The value obtained for the density of states at the Fermi level is 1.267 states/eV per atom. The calculation puts the relative energy among the computed polymorphs at 0.0 meV/atom. As for the total DFT energy (no corrections): -5.390 eV/atom.

Entry 17:
Density functional theory data (PBE) for a relaxed structure of CoCu2I4.

Unit cell a=6.021 b=6.021 c=7.933 alpha=112.30 beta=112.30 gamma=90.00
Site moments in Bohr magnetons follow the coordinates.
Sites, in units of the cell vectors:
Co 0.000 0.000 0.000  2.15
I 0.639 0.128 0.767  0.10
I 0.872 0.872 0.233  0.10
I 0.128 0.639 0.767  0.10
I 0.361 0.361 0.233  0.10
Cu 0.000 0.500 0.000  0.09
Cu 0.500 0.000 0.000  0.09

Output
The value obtained for the formation energy (no corrections) is -99 meV per atom. The value obtained for the density of states at the Fermi level is 0.025 states/eV per atom. As for the total DFT energy (no corrections): -3.171 eV/atom.

Entry 18:
Density functional theory data (PBE) for a relaxed structure of AcSnS2O.

Unit cell a=4.093 b=4.093 c=13.718 alpha=90.00 beta=90.00 gamma=90.00
Sites, in units of the cell vectors:
Sn 0.000 0.500 0.887
Sn 0.500 0.000 0.113
S 0.500 0.000 0.291
S 0.000 0.500 0.101
S 0.000 0.500 0.709
S 0.500 0.000 0.899
Ac 0.000 0.500 0.401
Ac 0.500 0.000 0.599
O 0.000 0.000 0.500
O 0.500 0.500 0.500

Output
The value obtained for the formation energy (no corrections) is -1695 meV per atom. The value obtained for the density of states at the Fermi level is 0.282 states/eV per atom. As for the total DFT energy (no corrections): -5.960 eV/atom.

Entry 19:
Density functional theory data (PBE) for a relaxed structure of NaHfMg14O15.

Unit cell a=4.329 b=8.608 c=8.654 alpha=90.00 beta=90.00 gamma=90.00
Site moments in Bohr magnetons follow the coordinates.
Sites, in units of the cell vectors:
Mg 0.000 0.500 0.500  0.00
Mg 0.000 0.255 0.243  0.00
Mg 0.500 0.999 0.235  0.00
Mg 0.000 0.744 0.239  0.00
Mg 0.000 0.744 0.761  0.00
Mg 0.500 0.999 0.765  0.00
Mg 0.500 0.249 0.000  0.00
Mg 0.500 0.747 0.500  0.01
Mg 0.500 0.256 0.500  0.00
Mg 0.500 0.501 0.752  0.00
Mg 0.500 0.750 0.000  0.00
Mg 0.000 0.499 0.000  0.00
Mg 0.500 0.501 0.248  0.00
Mg 0.000 0.255 0.757  0.00
O 0.500 0.249 0.749  0.00
O 0.500 0.249 0.251  0.00
O 0.000 0.735 0.000  0.00
O 0.000 0.500 0.746  0.00
O 0.000 0.254 0.500  0.00
O 0.500 0.005 0.500  0.01
O 0.500 0.001 0.000  0.00
O 0.500 0.500 0.500  0.00
O 0.000 0.001 0.737  0.00
O 0.500 0.499 0.000  0.00
O 0.000 0.001 0.263  0.00
O 0.000 0.500 0.254  0.00
O 0.500 0.750 0.245  0.00
O 0.000 0.265 0.000  0.00
O 0.500 0.750 0.755  0.00
Na 0.000 0.000 0.000  0.00
Hf 0.000 0.992 0.500  0.11

Output
The value obtained for the formation energy (no corrections) is -2497 meV per atom. The value obtained for the density of states at the Fermi level is 0.065 states/eV per atom. The calculation puts the relative energy among the computed polymorphs at 0.0 meV/atom. As for the total DFT energy (no corrections): -5.980 eV/atom.

Entry 20:
Density functional theory data (PBE) for a relaxed structure of Pm7Tl5Hg.

Unit cell a=6.830 b=8.418 c=8.418 alpha=79.73 beta=66.07 gamma=66.07
Sites, in units of the cell vectors:
Tl 0.005 0.476 0.000
Tl 0.519 0.000 0.476
Tl 0.519 0.476 0.000
Tl 0.005 0.000 0.476
Tl 0.770 0.730 0.730
Pm 0.257 0.743 0.743
Pm 0.281 0.219 0.219
Pm 0.524 0.800 0.152
Pm 0.006 0.680 0.308
Pm 0.524 0.152 0.800
Pm 0.622 0.378 0.378
Pm 0.006 0.308 0.680
Hg 0.962 0.038 0.038

Output
The value obtained for the density of states at the Fermi level is 0.968 states/eV per atom. As for the total DFT energy (no corrections): -3.685 eV/atom. The calculation puts the formation energy at -0.19 eV/atom.

Total magnetic moment per entry: 3.99; 0.00; 2.64; 0.00; 0.00; 0.00; 0.00; 0.00; 0.00; 0.00; 0.00; 0.00; 2.96; 0.00; 0.00; 0.00; 3.00; 0.00; 0.20; 0.00 μB per formula unit